LaTb3Se6: optimized geometry, PBE.

As for the formation energy (no corrections): -1.935 eV per atom. The crystal system is monoclinic. The calculated volume is 554.5 Å³ per cell. For the spin magnetization, the calculation gives 0.00 μB/f.u. For the total energy, the calculation gives -5.91 eV per atom.

The space group is P2_1/m (No. 11) and the conventional cell measures 11.688, 4.188 and 11.984 Å, with angles of 90.00, 109.04 and 90.00 degrees. The asymmetric unit holds La at (0.048, 0.250, 0.195), Tb at (0.159, 0.250, 0.586), Tb at (0.320, 0.750, 0.000), Tb at (0.441, 0.250, 0.334), Se at (0.084, 0.750, 0.406), Se at (0.119, 0.250, 0.964), Se at (0.197, 0.750, 0.750), Se at (0.264, 0.750, 0.228), Se at (0.393, 0.250, 0.558) and Se at (0.481, 0.250, 0.113).